Entry 1:
Computed, not measured: a relaxed structure of Li3AuBr at the PBE-GGA level of DFT.

M_tot	0.00	μB per cell
ΔE to the lowest computed polymorph	0.000	eV/atom
E_form (uncorrected)	-2.6	eV per formula unit

a b c (Å): 4.7693 4.7693 4.7693
angles (deg): 90.00 90.00 90.00
Space group Pm-3m (No. 221)
Inequivalent atoms, fractional coordinates:
1 Li 0.0000 0.0000 0.5000 [3 per cell]
2 Au 0.5000 0.5000 0.5000 [1 per cell]
3 Br 0.0000 0.0000 0.0000 [1 per cell]



Entry 2:
Computed, not measured: a relaxed structure of Li2AuBr at the PBE-GGA level of DFT.

M_tot	0.00	μB per cell
ΔE to the lowest computed polymorph	0.065	eV/atom
E_form (uncorrected)	-3.2	eV per formula unit

a b c (Å): 3.5265 3.4190 6.7771
angles (deg): 90.00 95.75 90.00
Space group P2/m (No. 10)
Inequivalent atoms, fractional coordinates:
1 Li 0.0536 0.0000 0.2315 [2 per cell]
2 Au 0.5000 0.5000 0.0000 [1 per cell]
3 Br 0.0000 0.5000 0.5000 [1 per cell]



Entry 3:
Computed, not measured: a relaxed structure of Li2AuBr at the PBE-GGA level of DFT.

M_tot	0.00	μB per cell
ΔE to the lowest computed polymorph	0.508	eV/atom
E_form (uncorrected)	-1.4	eV per formula unit

a b c (Å): 6.9388 6.9388 6.9388
angles (deg): 90.00 90.00 90.00
Space group F-43m (No. 216)
Inequivalent atoms, fractional coordinates:
1 Li 0.0000 0.0000 0.0000 [4 per cell]
2 Li 0.2500 0.2500 0.2500 [4 per cell]
3 Au 0.0000 0.0000 0.5000 [4 per cell]
4 Br 0.2500 0.2500 0.7500 [4 per cell]